# Na2YCrCd

A geometry-optimized Na2YCrCd structure (GGA-PBE, Alexandria).

Calculated values
Its calculated formation energy is 0.739 eV per atom. The calculation puts the magnetization at 3.7 Bohr magnetons per cell.

```
Na2YCrCd
1.0
5.248 0.000 0.000
0.000 5.326 0.000
0.000 0.000 5.248
Na Cr Y Cd
2 1 1 1
Direct
0.000 0.000 0.500 Na
0.500 0.000 0.000 Na
0.000 0.000 0.000 Cr
0.500 0.500 0.500 Y
0.000 0.500 0.000 Cd
```